(1)
First-principles (meta-GGA SCAN) data for a crystal of RbNi3Pt relaxed with PBEsol, as listed in the Alexandria database.

Geometry as extended XYZ:
```
5
Lattice="4.3689 0.0000 0.0000 0.0000 4.3689 0.0000 0.0000 0.0000 4.3689" Properties=species:S:1:pos:R:3 pbc="T T T"
Ni 0.0000 2.1844 0.0000
Ni 0.0000 0.0000 2.1844
Ni 2.1844 0.0000 0.0000
Rb 0.0000 0.0000 0.0000
Pt 2.1844 2.1844 2.1844
```

Computed properties:
Its total energy is -25.48 eV per atom. The formation energy is 2.41 eV per atom. The calculation puts the theoretical density at 9093 kg/m3. The density of states at the Fermi level is 3.37 states/eV/cell.

(2)
First-principles (meta-GGA SCAN) data for a crystal of CaMg2Tc relaxed with PBEsol, as listed in the Alexandria database.

Geometry as extended XYZ:
```
4
Lattice="2.8832 0.0191 0.0000 -0.8418 5.5167 0.0000 -1.0207 -2.7679 5.0190" Properties=species:S:1:pos:R:3 pbc="T T T"
Ca -0.4209 2.7583 0.0000
Mg -0.5104 -1.3839 2.5095
Mg 0.5104 1.3839 2.5095
Tc 1.4416 0.0096 0.0000
```

Computed properties:
Its total energy is -13.20 eV per atom. The formation energy is 0.47 eV per atom. The calculation puts the theoretical density at 3879 kg/m3. The density of states at the Fermi level is 2.68 states/eV/cell.

(3)
First-principles (meta-GGA SCAN) data for a crystal of Cs2KAu relaxed with PBEsol, as listed in the Alexandria database.

Geometry as extended XYZ:
```
8
Lattice="6.6507 0.0000 0.0000 3.3253 8.7976 0.0000 3.3253 0.0000 8.7976" Properties=species:S:1:pos:R:3 pbc="T T T"
Cs 9.1447 1.2315 5.6303
Cs 9.1447 7.5660 3.1673
Cs 7.4820 5.6303 7.5660
Cs 7.4820 3.1673 1.2315
K 4.9880 4.3988 4.3988
K 3.3253 0.0000 0.0000
Au 8.3133 4.3988 4.3988
Au 0.0000 0.0000 0.0000
```

Computed properties:
Its total energy is -38.46 eV per atom. The formation energy is -0.18 eV per atom. The calculation puts the theoretical density at 3238 kg/m3. The density of states at the Fermi level is 2.50 states/eV/cell.